# 1
The following is a DFT calculation (PBE) of a geometry-optimized Hf8S2N structure.

Results
Electronic total energy in eV per atom: -9.52
Crystal system: monoclinic
Calculated density in Mg/m³: 11.71
Formation energy from raw total energies in meV/atom: -777

a b c (Å): 11.6918 6.6511 5.7689
angles (deg): 90.00 107.78 90.00
Last column: nearest neighbours and their distance in Å.
Space group C2/m (No. 12)
Inequivalent atoms, fractional coordinates:
Hf  0.1080  0.2496  0.2228 (multiplicity 8)  1 N 2.24
Hf  0.1166  0.0000  0.7610 (multiplicity 4)  1 S 2.47
Hf  0.1184  0.5000  0.7652 (multiplicity 4)  1 N 2.21
S  0.2492  0.5000  0.4964 (multiplicity 4)  6 Hf 2.47-2.55
N  0.0000  0.5000  0.0000 (multiplicity 2)  6 Hf 2.21-2.24

# 2
The following is a DFT calculation (PBE) of a geometry-optimized Hf4S5N structure.

Results
Electronic total energy in eV per atom: -8.43
Crystal system: monoclinic
Calculated density in Mg/m³: 7.94
Formation energy from raw total energies in meV/atom: -1554

a b c (Å): 15.4614 3.4829 7.0670
angles (deg): 90.00 102.62 90.00
Last column: nearest neighbours and their distance in Å.
Space group C2/m (No. 12)
Inequivalent atoms, fractional coordinates:
Hf  0.0009  0.0000  0.2766 (multiplicity 4)  2 N 2.35, 4 S 2.50-2.62
Hf  0.1504  0.5000  0.5764 (multiplicity 4)  1 N 2.27, 2 S 2.50
S  0.0000  0.5000  0.0000 (multiplicity 2)  4 Hf 2.62
S  0.1642  0.0000  0.8344 (multiplicity 4)  3 Hf 2.50
S  0.1705  0.0000  0.3242 (multiplicity 4)  4 Hf 2.56-2.70
N  0.0000  0.5000  0.5000 (multiplicity 2)  6 Hf 2.27-2.35

# 3
The following is a DFT calculation (PBE) of a geometry-optimized Hf2SN structure.

Results
Electronic total energy in eV per atom: -9.26
Crystal system: tetragonal
Calculated density in Mg/m³: 9.08
Distance to the lowest polymorph of the same formula in eV per atom: 0.333
Formation energy from raw total energies in meV/atom: -1172

a b c (Å): 5.3279 5.3279 10.3814
angles (deg): 90.00 90.00 90.00
Last column: nearest neighbours and their distance in Å.
Space group I-42d (No. 122)
Inequivalent atoms, fractional coordinates:
Hf  0.1882  0.2500  0.1250 (multiplicity 8)  2 N 2.11
S  0.0000  0.0000  0.5000 (multiplicity 4)  4 Hf 2.49
N  0.0000  0.0000  0.0000 (multiplicity 4)  4 Hf 2.11

> formation energy from raw total energies of number 1 (Hf8S2N)?

-777 meV/atom

> The highest formation energy from raw total energies belongs to which entry?

Hf8S2N

> What is the formation energy from raw total energies in the second record?

-1554 meV/atom